[1]
DFT (PBE-GGA) results for CdTcSe2 after structural relaxation.

The structure in POSCAR format:
```
CdTcSe2
1.0
3.2674 0.0000 0.0000
0.0000 4.1185 0.0000
0.0000 0.0000 5.8677
Cd Tc Se
1 1 2
Direct
0.0000 0.0000 0.0000 Cd
0.5000 0.5000 0.5994 Tc
0.0000 0.0000 0.5373 Se
0.5000 0.5000 0.1845 Se
```

Summary:
Total moment: 0.000 μB per atom
DOS(E_F): 0.73 states/eV per atom
Formation energy (no corrections): 180 meV per atom



[2]
DFT (PBE-GGA) results for CdTcSe2 after structural relaxation.

The structure in POSCAR format:
```
CdTcSe2
1.0
4.3583 -1.5882 0.0000
4.3583 1.5882 0.0000
-2.2344 0.0000 6.0675
Cd Tc Se
1 1 2
Direct
0.0000 0.0000 0.0000 Cd
0.3467 0.3467 0.5797 Tc
0.6567 0.6567 0.6621 Se
0.8025 0.8025 0.2665 Se
```

Summary:
Total moment: 0.000 μB per atom
DOS(E_F): 0.65 states/eV per atom
Formation energy (no corrections): -108 meV per atom



[3]
DFT (PBE-GGA) results for CdTc2Se2 after structural relaxation.

The structure in POSCAR format:
```
CdTc2Se2
1.0
4.8653 0.0000 0.0000
0.0000 4.8653 0.0000
0.0000 0.0000 4.8407
Cd Tc Se
1 2 2
Direct
0.0000 0.0000 0.0000 Cd
0.5000 0.5000 0.0000 Tc
0.5000 0.5000 0.5000 Tc
0.0000 0.5000 0.5000 Se
0.5000 0.0000 0.5000 Se
```

Summary:
Total moment: 0.445 μB per atom
DOS(E_F): 1.09 states/eV per atom
E above lowest polymorph: 529 meV per atom
Formation energy (no corrections): 794 meV per atom



Q: Which of these has the lowest DOS(E_F)?
A: number 2



Please write out number 2 again, unchanged.
DFT (PBE-GGA) results for CdTcSe2 after structural relaxation.

The structure in POSCAR format:
```
CdTcSe2
1.0
4.3583 -1.5882 0.0000
4.3583 1.5882 0.0000
-2.2344 0.0000 6.0675
Cd Tc Se
1 1 2
Direct
0.0000 0.0000 0.0000 Cd
0.3467 0.3467 0.5797 Tc
0.6567 0.6567 0.6621 Se
0.8025 0.8025 0.2665 Se
```

Summary:
Total moment: 0.000 μB per atom
DOS(E_F): 0.65 states/eV per atom
Formation energy (no corrections): -108 meV per atom



Q: Among the records above, which one has the highest DOS(E_F)?
A: CdTc2Se2